Here is Pr2YCd3CuAu2 after structural relaxation from OQMD via LeMat-Bulk. Energies are from GGA-PBE.

Summary:
DFT formation energy ... -0.555 eV per atom
Electronic total energy ... -3.772 eV/atom

a = 3.9600 Å, b = 7.8287 Å, c = 7.8287 Å
α = 119.73°, β = 90.00°, γ = 90.00°
With the nearest neighbours (Å) after each atom.
Sites, in units of the cell vectors:
Au: 0.5000 0.6649 0.3399  3 Cd 2.99-3.11, 2 Y 3.04, 4 Pr 3.12
Au: 0.5000 0.3399 0.6649  3 Cd 2.99-3.11, 2 Y 3.04, 4 Pr 3.12
Cd: 0.5000 0.2449 0.2449  2 Cu 2.78, 2 Au 2.99
Cd: 0.5000 0.9962 0.7566  2 Cu 2.73, 1 Au 3.00
Cd: 0.5000 0.7566 0.9962  2 Cu 2.73, 1 Au 3.00
Cu: 0.0000 0.9974 0.9974  6 Cd 2.73-2.78
Pr: 0.0000 0.4072 0.0003  4 Au 3.12, 1 Cu 3.20, 6 Cd 3.39-3.44
Pr: 0.0000 0.0003 0.4072  4 Au 3.12, 1 Cu 3.20, 6 Cd 3.39-3.44
Y: 0.0000 0.5926 0.5926  4 Au 3.04, 1 Cu 3.18, 6 Cd 3.37-3.40

Here is NdDyCu2 after structural relaxation from OQMD via LeMat-Bulk. Energies are from GGA-PBE.

Summary:
DFT formation energy ... -0.212 eV per atom
Electronic total energy ... -4.412 eV/atom
Offset from the most stable computed form ... 0.03 eV per formula unit

a = 4.5061 Å, b = 5.4269 Å, c = 7.1515 Å
α = 90.00°, β = 90.00°, γ = 90.00°
With the nearest neighbours (Å) after each atom.
Sites, in units of the cell vectors:
Cu: 0.0000 0.6316 0.0314  2 Cu 2.67, 2 Dy 2.84-2.85
Cu: 0.5000 0.1204 0.4651  2 Cu 2.67, 3 Nd 2.89-2.91
Cu: 0.0000 0.3684 0.5314  2 Cu 2.67, 2 Dy 2.84-2.85
Cu: 0.5000 0.8796 0.9651  2 Cu 2.67, 3 Nd 2.89-2.91
Dy: 0.0000 0.1156 0.1821  7 Cu 2.84-3.03
Dy: 0.0000 0.8844 0.6821  7 Cu 2.84-3.03
Nd: 0.5000 0.6188 0.3214  7 Cu 2.89-3.06
Nd: 0.5000 0.3812 0.8214  7 Cu 2.89-3.06

Here is NaHfAuSe3 after structural relaxation from OQMD via LeMat-Bulk. Energies are from GGA-PBE.

Summary:
Electronic total energy ... -5.099 eV/atom
Offset from the most stable computed form ... 0.18 eV per formula unit

a = 11.0214 Å, b = 3.8110 Å, c = 13.7449 Å
α = 90.00°, β = 90.00°, γ = 90.00°
With the nearest neighbours (Å) after each atom.
Sites, in units of the cell vectors:
Au: 0.2614 0.7500 0.2066  4 Se 2.56-2.74
Au: 0.7614 0.7500 0.2934  4 Se 2.56-2.74
Au: 0.2386 0.2500 0.7066  4 Se 2.56-2.74
Au: 0.7386 0.2500 0.7934  4 Se 2.56-2.74
Hf: 0.9753 0.2500 0.2303  5 Se 2.53-2.72
Hf: 0.4753 0.2500 0.2697  5 Se 2.53-2.72
Hf: 0.5247 0.7500 0.7303  5 Se 2.53-2.72
Hf: 0.0247 0.7500 0.7697  5 Se 2.53-2.72
Na: 0.2798 0.2500 0.0181  7 Se 3.05-3.38, 2 Au 3.22
Na: 0.7798 0.2500 0.4819  7 Se 3.05-3.38, 2 Au 3.22
Na: 0.2202 0.7500 0.5181  7 Se 3.05-3.38, 2 Au 3.22
Na: 0.7202 0.7500 0.9819  7 Se 3.05-3.38, 2 Au 3.22
Se: 0.0621 0.7500 0.1113  1 Au 2.56, 2 Hf 2.69
Se: 0.4744 0.7500 0.1288  1 Au 2.58, 2 Hf 2.72
Se: 0.7683 0.2500 0.1506  1 Hf 2.53, 2 Au 2.74
Se: 0.2683 0.2500 0.3494  1 Hf 2.53, 2 Au 2.74
Se: 0.9744 0.7500 0.3712  1 Au 2.58, 2 Hf 2.72
Se: 0.5621 0.7500 0.3887  1 Au 2.56, 2 Hf 2.69
Se: 0.4379 0.2500 0.6113  1 Au 2.56, 2 Hf 2.69
Se: 0.0256 0.2500 0.6288  1 Au 2.58, 2 Hf 2.72
Se: 0.7317 0.7500 0.6506  1 Hf 2.53, 2 Au 2.74
Se: 0.2317 0.7500 0.8494  1 Hf 2.53, 2 Au 2.74
Se: 0.5256 0.2500 0.8712  1 Au 2.58, 2 Hf 2.72
Se: 0.9379 0.2500 0.8887  1 Au 2.56, 2 Hf 2.69

Question: electronic total energy of number 1 (Pr2YCd3CuAu2)?
Answer: -3.772 eV/atom

Question: What is the electronic total energy in the second record?
Answer: -4.412 eV/atom

Question: What is the formula in the third record?
Answer: NaHfAuSe3

Question: Among the records above, which one has the lowest electronic total energy?
Answer: NaHfAuSe3